VASP calculation (GGA+U) on a relaxed Ba2FeSnO6 crystal.

a b c (Å): 5.840 5.840 5.841
angles (deg): 59.99 59.99 89.97
Each line ends with the local moment (μB).
Sites, in units of the cell vectors:
Ba 0.250 0.750 0.500  0.00
Ba 0.750 0.250 0.500  0.00
Fe 0.500 0.500 0.000  4.21
Sn 0.000 0.000 0.000  0.06
O 0.254 0.746 0.000  0.06
O 0.746 0.746 0.000  0.06
O 0.254 0.254 0.493  0.07
O 0.746 0.254 0.000  0.06
O 0.254 0.254 0.000  0.06
O 0.746 0.746 0.507  0.07

DOS(E_F): 0.769 states/eV per atom
Total DFT energy (no corrections): -6.31 eV/atom